--- A ---
# TlOs2F

An optimized crystal structure of TlOs2F (PBE, the Alexandria database).

Properties
DOS at the Fermi energy (states/eV/atom): 0.74
Volume (Å³ per cell): 64.58

Cell lengths 4.5034, 4.5034, 4.5034 Å; angles 60.00, 60.00, 60.00 degrees
Last column: nearest neighbours and their distance in Å.
Positions (direct):
Tl  0.5000  0.5000  0.5000  8 Os 2.76
Os  0.2500  0.2500  0.2500  4 Tl 2.76, 4 F 2.76
Os  0.7500  0.7500  0.7500  4 Tl 2.76, 4 F 2.76
F  0.0000  0.0000  0.0000  8 Os 2.76



--- B ---
# TlOs2F

An optimized crystal structure of TlOs2F (PBE, the Alexandria database).

Properties
DOS at the Fermi energy (states/eV/atom): 1.04
Volume (Å³ per cell): 139.96

Cell lengths 3.5741, 3.5741, 11.2439 Å; angles 80.85, 80.85, 90.00 degrees
Last column: nearest neighbours and their distance in Å.
Positions (direct):
Tl  0.0000  0.0000  0.0000  4 F 2.53
Tl  0.7500  0.2500  0.5000  4 F 2.53
Os  0.1392  0.1250  0.2500  4 Os 2.46-2.60
Os  0.6108  0.6250  0.2500  4 Os 2.46-2.60
Os  0.3750  0.8608  0.7500  4 Os 2.46-2.60
Os  0.8750  0.3892  0.7500  4 Os 2.46-2.60
F  0.5000  0.5000  0.0000  4 Tl 2.53
F  0.2500  0.7500  0.5000  4 Tl 2.53



Which one sits at the top of the stability order? B does.